A relaxed structure of NaGa2BiH, computed with PBE-GGA.

Cell: 4.6409 4.6409 4.5622 Å, 90.00 90.00 90.00°
Atoms (fractional coordinates):
Na 0.0000 0.0000 0.0000
Ga 0.0000 0.5000 0.5000
Ga 0.5000 0.0000 0.5000
Bi 0.5000 0.5000 0.0000
H 0.0000 0.0000 0.5000

Values from the calculation:
**Final energy**: -2.888 eV/atom
**Theoretical density**: 6.3 g/cm3
**Symmetry**: P4/mmm (123)
**DOS(E_F)**: 0.3323 states/eV/atom



A relaxed structure of SmDyHo2Er6, computed with PBE-GGA.

Cell: 8.7118 8.7118 9.4646 Å, 93.73 93.73 117.82°
Atoms (fractional coordinates):
Sm 0.0248 0.9752 0.7500
Sm 0.9752 0.0248 0.2500
Dy 0.4092 0.5908 0.2500
Dy 0.5908 0.4092 0.7500
Ho 0.1968 0.3030 0.5456
Ho 0.3030 0.1968 0.0456
Ho 0.6970 0.8032 0.9544
Ho 0.8032 0.6970 0.4544
Er 0.0202 0.5684 0.6830
Er 0.1241 0.7498 0.0572
Er 0.2502 0.8759 0.4428
Er 0.2912 0.5073 0.8814
Er 0.4316 0.9798 0.8170
Er 0.4927 0.7088 0.6186
Er 0.5073 0.2912 0.3814
Er 0.5684 0.0202 0.1830
Er 0.7088 0.4927 0.1186
Er 0.7498 0.1241 0.5572
Er 0.8759 0.2502 0.9428
Er 0.9798 0.4316 0.3170

Values from the calculation:
**DFT formation energy**: 0.123 eV per atom
**Final energy**: -4.463 eV/atom
**Theoretical density**: 8.7 g/cm3
**Symmetry**: C2/c (15)
**DOS(E_F)**: 1.4534 states/eV/atom